*1*
DFT (PBE-GGA) results for a geometry-optimized ZnTeCI2 structure.

Summary:
SG = No. 123

Cell and atoms, written as POSCAR:
```
ZnTeCI2
1.0
5.541 0.000 0.000
0.000 5.541 0.000
0.000 0.000 5.396
Zn I Te C
1 2 1 1
Direct
0.000 0.000 0.000
0.500 0.000 0.000
0.000 0.500 0.000
0.000 0.000 0.500
0.500 0.500 0.500
```

---

*2*
DFT (PBE-GGA) results for a geometry-optimized ZnTeCI2 structure.

Summary:
SG = No. 123

Cell and atoms, written as POSCAR:
```
ZnTeCI2
1.0
-2.131 -2.125 4.180
-2.324 -3.509 -2.969
3.759 -2.875 0.455
I Zn C Te
2 1 1 1
Direct
0.500 0.000 0.000
0.000 0.500 0.000
0.500 0.500 0.500
0.000 0.000 0.000
0.000 0.000 0.500
```

---

Of them, *1* has the lowest stability.

---

*1*
DFT (PBE-GGA) results for a geometry-optimized ZnTe2CI structure.

Summary:
SG = No. 123

Cell and atoms, written as POSCAR:
```
ZnTe2CI
1.0
4.854 0.000 0.000
0.000 4.854 0.000
0.000 0.000 5.025
C Te I Zn
1 2 1 1
Direct
0.000 0.000 0.000
0.500 0.000 0.000
0.000 0.500 0.000
0.000 0.000 0.500
0.500 0.500 0.500
```

---

*2*
DFT (PBE-GGA) results for a geometry-optimized ZnTe2CI structure.

Summary:
SG = No. 123

Cell and atoms, written as POSCAR:
```
ZnTe2CI
1.0
5.340 0.000 0.000
0.000 5.340 0.000
0.000 0.000 5.480
Te Zn I C
2 1 1 1
Direct
0.500 0.000 0.000
0.000 0.500 0.000
0.000 0.000 0.000
0.000 0.000 0.500
0.500 0.500 0.500
```

---

Of them, *2* has the lowest stability.

---

*1*
DFT (PBE-GGA) results for a geometry-optimized ZrTe2CI structure.

Summary:
SG = No. 123

Cell and atoms, written as POSCAR:
```
ZrTe2CI
1.0
5.607 0.000 0.000
0.000 5.607 0.000
0.000 0.000 5.743
Te C Zr I
2 1 1 1
Direct
0.000 0.500 0.000
0.500 0.000 0.000
0.500 0.500 0.500
0.000 0.000 0.000
0.000 0.000 0.500
```

---

*2*
DFT (PBE-GGA) results for a geometry-optimized ZrTe2CI structure.

Summary:
SG = No. 123

Cell and atoms, written as POSCAR:
```
ZrTe2CI
1.0
-0.979 -4.683 0.260
1.771 -0.615 -4.410
4.426 -0.820 1.892
Te Zr C I
2 1 1 1
Direct
0.500 0.000 0.000
0.000 0.500 0.000
0.500 0.500 0.500
0.000 0.000 0.000
0.000 0.000 0.500
```

---

Of them, *1* has the lowest stability.